SrAcLa2As4: optimized geometry, PBE.

V: 31.16 Å³ per atom
DOS at the Fermi energy: 6.694 states/eV/f.u.
ΔH_f (0 K): -1.366 eV/atom
total magnetic moment: 0.0 μB per formula unit

a = 7.692 Å, b = 4.450 Å, c = 7.722 Å
α = 90.00°, β = 109.44°, γ = 90.00°
Space group P2/m (No. 10)
Asymmetric unit:
Sr (0.000, 0.000, 0.000) x1
Ac (0.500, 0.500, 0.000) x1
La (0.000, 0.500, 0.500) x1
La (0.500, 0.000, 0.500) x1
As (0.248, 0.000, 0.739) x2
As (0.256, 0.500, 0.263) x2